NpTi2Ga9 | PBE | relaxed

Values from the calculation:
DFT total energy: -4.95 eV/atom
N(E_F): 10.0 states/eV/cell
theoretical density: 7.81 g/cm3
total moment: 0.282 μB per atom

Cell lengths 4.080, 4.080, 12.270 Å; angles 90.00, 90.00, 90.00 degrees
Fractional positions:
Ga: 0.500 0.000 0.500
Ga: 0.000 0.500 0.179
Ga: 0.500 0.500 0.663
Ga: 0.000 0.500 0.821
Ga: 0.500 0.500 0.337
Ga: 0.500 0.500 0.000
Ga: 0.500 0.000 0.179
Ga: 0.500 0.000 0.821
Ga: 0.000 0.500 0.500
Ti: 0.000 0.000 0.344
Ti: 0.000 0.000 0.656
Np: 0.000 0.000 0.000



Np3TiGa12 | PBE | relaxed

Values from the calculation:
DFT total energy: -5.43 eV/atom
N(E_F): 23.8 states/eV/cell
theoretical density: 8.95 g/cm3
total moment: 0.721 μB per atom

Cell lengths 4.195, 4.195, 16.826 Å; angles 90.00, 90.00, 90.00 degrees
Fractional positions:
Ga: 0.500 0.000 0.629
Ga: 0.000 0.500 0.115
Ga: 0.500 0.500 0.754
Ga: 0.500 0.000 0.115
Ga: 0.500 0.000 0.885
Ga: 0.500 0.500 0.500
Ga: 0.000 0.500 0.629
Ga: 0.000 0.500 0.885
Ga: 0.500 0.500 0.000
Ga: 0.000 0.500 0.371
Ga: 0.500 0.500 0.246
Ga: 0.500 0.000 0.371
Ti: 0.000 0.000 0.000
Np: 0.000 0.000 0.241
Np: 0.000 0.000 0.500
Np: 0.000 0.000 0.759



NpUTiGa | PBE | relaxed

Values from the calculation:
DFT total energy: -8.68 eV/atom
N(E_F): 10.1 states/eV/cell
theoretical density: 13.18 g/cm3
total moment: 1.060 μB per atom

Cell lengths 4.727, 4.727, 4.727 Å; angles 60.00, 60.00, 60.00 degrees
Fractional positions:
Ga: 0.000 0.000 0.000
U: 0.500 0.500 0.500
Ti: 0.750 0.750 0.750
Np: 0.250 0.250 0.250



NpTiVGa | PBE | relaxed

Values from the calculation:
DFT total energy: -8.13 eV/atom
N(E_F): 11.1 states/eV/cell
theoretical density: 9.98 g/cm3
total moment: 1.141 μB per atom

Cell lengths 4.570, 4.570, 4.570 Å; angles 60.00, 60.00, 60.00 degrees
Fractional positions:
Ti: 0.000 0.000 0.000
Ga: 0.750 0.750 0.750
Np: 0.250 0.250 0.250
V: 0.500 0.500 0.500



Question: Which value of theoretical density does entry 2 give?
Answer: 8.95 g/cm3



Question: The highest N(E_F) belongs to which entry?
Answer: Np3TiGa12